{"formula": "MnTeBr2", "functional": "SCAN", "state": "single point on PBEsol structure", "e_form_raw_mev_per_atom": 189, "rho_g_cm3": 5.98, "lattice": [[-1.855, 1.734, 2.167], [-1.691, -4.635, 2.261], [4.477, 1.335, 2.763]], "species": ["Mn", "Te", "Br", "Br"], "frac_coords": [[0.500, 0.000, 0.000], [0.500, 0.500, 0.500], [0.000, 0.500, 0.000], [0.000, 0.000, 0.500]]}